Entry 1:
Entry from Alexandria via LeMat-Bulk: a relaxed TbPr6Cd3 crystal (PBE-GGA). Values from VASP.

The structure in Quantum ESPRESSO input format:
```
&SYSTEM
  ibrav = 0, nat = 20, ntyp = 3
/
ATOMIC_SPECIES
Tb 158.93 Tb.upf
Pr 140.91 Pr.upf
Cd 112.41 Cd.upf
CELL_PARAMETERS angstrom
6.5593 -7.0746 0.0000
6.5593 7.0746 0.0000
0.0000 0.0000 6.9375
ATOMIC_POSITIONS angstrom
Tb 6.5593 4.3822 3.4687
Tb 6.5593 -4.3822 0.0000
Pr 3.6395 3.0305 1.1659
Pr 2.8150 0.3205 3.3721
Pr 6.5593 4.2075 6.8621
Pr 2.8150 -0.3205 6.8408
Pr 6.5593 1.0770 2.1709
Pr 3.6395 -3.0305 4.6346
Pr 9.4792 3.0305 1.1659
Pr 6.5593 -1.0770 5.6397
Pr 10.3037 0.3205 3.3721
Pr 6.5593 -4.2075 3.3934
Pr 10.3037 -0.3205 6.8408
Pr 9.4792 -3.0305 4.6346
Cd 6.5593 7.0443 1.6653
Cd 5.0830 1.7591 5.2607
Cd 8.0357 1.7591 5.2607
Cd 5.0830 -1.7591 1.7920
Cd 8.0357 -1.7591 1.7920
Cd 6.5593 -7.0443 5.1340
```

Computed properties:
- Calculated formation energy: -95 meV per atom
- D(E_F): 11.41 states/eV/f.u.
- ρ: 6.920 Mg/m³
- Symmetry: Cmc2_1 (36)

=====

Entry 2:
Entry from Alexandria via LeMat-Bulk: a relaxed TlGa2N crystal (PBE-GGA). Values from VASP.

The structure in Quantum ESPRESSO input format:
```
&SYSTEM
  ibrav = 0, nat = 4, ntyp = 3
/
ATOMIC_SPECIES
Tl 204.38 Tl.upf
Ga 69.72 Ga.upf
N 14.01 N.upf
CELL_PARAMETERS angstrom
0.0000 3.3528 3.3528
3.3528 0.0000 3.3528
3.3528 3.3528 0.0000
ATOMIC_POSITIONS angstrom
Tl 0.0000 0.0000 0.0000
Ga 1.6764 1.6764 1.6764
Ga 5.0291 5.0291 5.0291
N 3.3528 3.3528 3.3528
```

Computed properties:
- D(E_F): 1.50 states/eV/f.u.
- ρ: 7.883 Mg/m³
- Raw formation energy: 1.05 eV per atom
- Symmetry: Fm-3m (225)

=====

Entry 3:
Entry from Alexandria via LeMat-Bulk: a relaxed BeAg4W crystal (PBE-GGA). Values from VASP.

The structure in Quantum ESPRESSO input format:
```
&SYSTEM
  ibrav = 0, nat = 6, ntyp = 3
/
ATOMIC_SPECIES
Be 9.01 Be.upf
Ag 107.87 Ag.upf
W 183.84 W.upf
CELL_PARAMETERS angstrom
0.0000 3.7642 3.7642
3.7642 0.0000 3.7642
3.7642 3.7642 0.0000
ATOMIC_POSITIONS angstrom
Be 0.0000 0.0000 0.0000
Ag 4.7057 2.8227 2.8227
Ag 2.8227 4.7057 2.8227
Ag 2.8227 2.8227 4.7057
Ag 4.7057 4.7057 4.7057
W 1.8821 1.8821 1.8821
```

Computed properties:
- Calculated formation energy: 1008 meV per atom
- D(E_F): 2.80 states/eV/f.u.
- ρ: 9.719 Mg/m³
- Symmetry: F-43m (216)